Entry 1:
# Tb3Dy5Tm

A relaxed structure of Tb3Dy5Tm (PBE, Alexandria via LeMat-Bulk).

Results
Total magnetic moment (μB per formula unit): 0.0
Energy relative to the lowest polymorph listed for this composition (eV/atom): 0.351

The structure in CIF format:
```
data_Tb3Dy5Tm
_space_group_name_H-M_alt 'C 1 2/m 1'
_space_group_IT_number 12
_cell_length_a 15.062
_cell_length_b 11.369
_cell_length_c 9.832
_cell_angle_alpha 90.00
_cell_angle_beta 130.14
_cell_angle_gamma 90.00
loop_
_space_group_symop_operation_xyz
'x,y,z'
'-x,-y,-z'
'-x,y,-z'
'x,-y,z'
'x+1/2,y+1/2,z'
'-x+1/2,-y+1/2,-z'
'-x+1/2,y+1/2,-z'
'x+1/2,-y+1/2,z'
loop_
_atom_site_label
_atom_site_fract_x
_atom_site_fract_y
_atom_site_fract_z
Tb1 0.000 0.000 0.000
Tb2 0.000 0.500 0.500
Tb3 0.009 0.000 0.316
Tb4 0.020 0.500 0.860
Dy1 0.000 0.243 0.500
Dy2 0.152 0.248 0.247
Dy3 0.223 0.000 0.732
Dy4 0.223 0.500 0.539
Tm1 0.249 0.000 0.100
```

=====

Entry 2:
# Tb5Dy2Tm6

A relaxed structure of Tb5Dy2Tm6 (PBE, Alexandria via LeMat-Bulk).

Results
Total magnetic moment (μB per formula unit): 0.0

The structure in CIF format:
```
data_Tb5Dy2Tm6
_space_group_name_H-M_alt 'P b a m'
_space_group_IT_number 55
_cell_length_a 11.498
_cell_length_b 20.076
_cell_length_c 3.533
_cell_angle_alpha 90.00
_cell_angle_beta 90.00
_cell_angle_gamma 90.00
loop_
_space_group_symop_operation_xyz
'x,y,z'
'-x,-y,-z'
'-x,-y,z'
'x,y,-z'
'x+1/2,-y+1/2,-z'
'-x+1/2,y+1/2,z'
'-x+1/2,y+1/2,-z'
'x+1/2,-y+1/2,z'
loop_
_atom_site_label
_atom_site_fract_x
_atom_site_fract_y
_atom_site_fract_z
Tb1 0.000 0.000 0.000
Tb2 0.087 0.273 0.000
Tb3 0.199 0.549 0.000
Dy1 0.169 0.710 0.500
Tm1 0.060 0.419 0.500
Tm2 0.082 0.131 0.500
Tm3 0.174 0.864 0.000
```

=====

Entry 3:
# TbDy7Tm4

A relaxed structure of TbDy7Tm4 (PBE, Alexandria via LeMat-Bulk).

Results
Total magnetic moment (μB per formula unit): 0.0
Energy relative to the lowest polymorph listed for this composition (eV/atom): 0.000

The structure in CIF format:
```
data_TbDy7Tm4
_space_group_name_H-M_alt 'P -1'
_space_group_IT_number 2
_cell_length_a 6.146
_cell_length_b 7.095
_cell_length_c 8.732
_cell_angle_alpha 90.01
_cell_angle_beta 103.55
_cell_angle_gamma 90.02
loop_
_space_group_symop_operation_xyz
'x,y,z'
'-x,-y,-z'
loop_
_atom_site_label
_atom_site_fract_x
_atom_site_fract_y
_atom_site_fract_z
Tb1 0.000 0.000 0.000
Dy1 0.000 0.500 0.000
Dy2 0.222 0.000 0.665
Dy3 0.279 0.749 0.335
Dy4 0.499 0.251 0.000
Tm1 0.221 0.500 0.665
Tm2 0.278 0.251 0.335
```

=====

Entry 4:
# Tb3Dy3Tm8

A relaxed structure of Tb3Dy3Tm8 (PBE, Alexandria via LeMat-Bulk).

Results
Total magnetic moment (μB per formula unit): 0.0

The structure in CIF format:
```
data_Tb3Dy3Tm8
_space_group_name_H-M_alt 'I m m m'
_space_group_IT_number 71
_space_group_name_Hall '-I 2 2'
_cell_length_a 5.546
_cell_length_b 10.672
_cell_length_c 14.746
_cell_angle_alpha 90.00
_cell_angle_beta 90.00
_cell_angle_gamma 90.00
loop_
_atom_site_label
_atom_site_fract_x
_atom_site_fract_y
_atom_site_fract_z
Tb1 0.000 0.000 0.000
Tb2 0.000 0.500 0.318
Dy1 0.000 0.000 0.500
Dy2 0.000 0.296 0.500
Tm1 0.000 0.159 0.278
Tm2 0.000 0.343 0.104
```

=====

Entry 5:
# TbDy3Tm5

A relaxed structure of TbDy3Tm5 (PBE, Alexandria via LeMat-Bulk).

Results
Total magnetic moment (μB per formula unit): 0.0
Energy relative to the lowest polymorph listed for this composition (eV/atom): 0.458

The structure in CIF format:
```
data_TbDy3Tm5
_space_group_name_H-M_alt 'C 1 2/m 1'
_space_group_IT_number 12
_cell_length_a 15.045
_cell_length_b 11.198
_cell_length_c 9.882
_cell_angle_alpha 90.00
_cell_angle_beta 130.65
_cell_angle_gamma 90.00
loop_
_space_group_symop_operation_xyz
'x,y,z'
'-x,-y,-z'
'-x,y,-z'
'x,-y,z'
'x+1/2,y+1/2,z'
'-x+1/2,-y+1/2,-z'
'-x+1/2,y+1/2,-z'
'x+1/2,-y+1/2,z'
loop_
_atom_site_label
_atom_site_fract_x
_atom_site_fract_y
_atom_site_fract_z
Tb1 0.250 0.000 0.101
Dy1 0.000 0.000 0.000
Dy2 0.000 0.500 0.500
Dy3 0.010 0.000 0.311
Dy4 0.023 0.500 0.865
Tm1 0.000 0.239 0.500
Tm2 0.152 0.249 0.251
Tm3 0.219 0.000 0.728
Tm4 0.223 0.500 0.536
```

=====

Entry 6:
# Tb6Dy2Tm5

A relaxed structure of Tb6Dy2Tm5 (PBE, Alexandria via LeMat-Bulk).

Results
Total magnetic moment (μB per formula unit): 0.0

The structure in CIF format:
```
data_Tb6Dy2Tm5
_space_group_name_H-M_alt 'P b a m'
_space_group_IT_number 55
_cell_length_a 11.547
_cell_length_b 20.003
_cell_length_c 3.556
_cell_angle_alpha 90.00
_cell_angle_beta 90.00
_cell_angle_gamma 90.00
loop_
_space_group_symop_operation_xyz
'x,y,z'
'-x,-y,-z'
'-x,-y,z'
'x,y,-z'
'x+1/2,-y+1/2,-z'
'-x+1/2,y+1/2,z'
'-x+1/2,y+1/2,-z'
'x+1/2,-y+1/2,z'
loop_
_atom_site_label
_atom_site_fract_x
_atom_site_fract_y
_atom_site_fract_z
Tb1 0.058 0.080 0.000
Tb2 0.084 0.368 0.000
Tb3 0.172 0.633 0.500
Dy1 0.165 0.789 0.000
Tm1 0.000 0.500 0.500
Tm2 0.093 0.226 0.500
Tm3 0.198 0.949 0.500
```

=====

Entry 7:
# Tb2DyTm8

A relaxed structure of Tb2DyTm8 (PBE, Alexandria via LeMat-Bulk).

Results
Total magnetic moment (μB per formula unit): 0.0
Energy relative to the lowest polymorph listed for this composition (eV/atom): 0.095

The structure in CIF format:
```
data_Tb2DyTm8
_space_group_name_H-M_alt 'I m m m'
_space_group_IT_number 71
_space_group_name_Hall '-I 2 2'
_cell_length_a 5.414
_cell_length_b 7.968
_cell_length_c 15.765
_cell_angle_alpha 90.00
_cell_angle_beta 90.00
_cell_angle_gamma 90.00
loop_
_atom_site_label
_atom_site_fract_x
_atom_site_fract_y
_atom_site_fract_z
Tb1 0.000 0.000 0.201
Dy1 0.000 0.000 0.500
Tm1 0.000 0.207 0.000
Tm2 0.000 0.291 0.361
Tm3 0.000 0.500 0.161
```

=====

Entry 8:
# TbDy5Tm3

A relaxed structure of TbDy5Tm3 (PBE, Alexandria via LeMat-Bulk).

Results
Total magnetic moment (μB per formula unit): 0.0
Energy relative to the lowest polymorph listed for this composition (eV/atom): 0.000

The structure in CIF format:
```
data_TbDy5Tm3
_space_group_name_H-M_alt 'I m m a'
_space_group_IT_number 74
_space_group_name_Hall '-I 2b 2'
_cell_length_a 7.179
_cell_length_b 17.155
_cell_length_c 9.152
_cell_angle_alpha 90.00
_cell_angle_beta 90.00
_cell_angle_gamma 90.00
loop_
_atom_site_label
_atom_site_fract_x
_atom_site_fract_y
_atom_site_fract_z
Tb1 0.000 0.250 0.050
Dy1 0.000 0.250 0.416
Dy2 0.248 0.086 0.070
Tm1 0.000 0.068 0.749
Tm2 0.250 0.250 0.750
```

=====

Calculated values (eV per atom) of energy of formation from the pure elements for the records, taken in order: 0.53, 0.10, 0.00, 0.12, 0.54, 0.10, 0.12, 0.14.